DFT (PBE+U) results for a relaxed K2CoRe2O6 crystal. Values from VASP.

Structure (Quantum ESPRESSO input):
```
&SYSTEM
  ibrav = 0, nat = 11, ntyp = 4
/
ATOMIC_SPECIES
K 39.10 K.upf
Co 58.93 Co.upf
Re 186.21 Re.upf
O 16.00 O.upf
CELL_PARAMETERS angstrom
2.965 1.712 5.618
-2.965 1.712 5.618
0.000 -3.424 5.618
ATOMIC_POSITIONS angstrom
K 0.000 0.000 3.518
K 0.000 0.000 13.335
Co 0.000 0.000 0.000
Re 0.000 0.000 7.288
Re 0.000 0.000 9.565
O 0.000 -1.787 6.883
O -1.548 0.894 6.883
O -1.548 -0.894 9.971
O 1.548 0.894 6.883
O 1.548 -0.894 9.971
O 0.000 1.787 9.971
```

- M_tot (Bohr magnetons per cell) = 3.0
- uncorrected energy (eV/atom) = -7.0491